An optimized crystal structure of Hf2Pt2W. Source: the Alexandria database, functional PBE-GGA.

The space group is P4/mbm (No. 127) and the conventional cell measures 7.5533, 7.5533 and 3.2149 Å, with angles of 90.00, 90.00 and 90.00 degrees. The asymmetric unit holds Hf at (0.1711, 0.3289, 0.0000), Pt at (0.1297, 0.6297, 0.5000) and W at (0.0000, 0.0000, 0.5000).

Its offset from the most stable computed form is 0.000 eV per atom. The total energy comes out at -9.504 eV per atom. For the mass density, the calculation gives 16.86 Mg/m³. The value obtained for the density of states at the Fermi level is 8.85 states/eV/cell. The formation energy from the elements comes out at -0.52 eV/atom.